## ReNi2RuF (GGA+U)

Data for crystalline ReNi2RuF at its relaxed geometry.

Values from the calculation:
Spin magnetization   2.1 μB per formula unit
Total energy   -4.95 eV per atom

Cell: 3.8057 3.8057 4.6121 Å, 90.00 90.00 90.00°
Space group P4/mmm (No. 123)
One atom of each set of equivalent atoms:
1 Re 0.0000 0.0000 0.0000
2 Ni 0.0000 0.5000 0.5000
3 Ru 0.5000 0.5000 0.0000
4 F 0.5000 0.5000 0.5000